Compound: Mg2PdPt3
Source: Alexandria
Functional: PBE
Structure: relaxed

Lattice parameters (Å, degrees): 5.530 13.323 5.521 90.00 90.00 90.00
Space group Ibam (No. 72)
Unique sites:
1 Mg 0.241 0.152 0.000 [8 per cell]
2 Pd 0.000 0.000 0.250 [4 per cell]
3 Pt 0.000 0.500 0.250 [4 per cell]
4 Pt 0.242 0.348 0.000 [8 per cell]

* formation energy: -0.418 eV per atom
* DOS at the Fermi energy: 15.79 states/eV per cell
* theoretical density: 12.09 Mg/m³